1.
Crystalline Ce7Te2Pb2 at its relaxed geometry. Source: Alexandria via LeMat-Bulk, functional PBE-GGA.

Lattice parameters (Å, degrees): 7.398 7.398 6.882 90.11 90.11 74.98
Sites, in units of the cell vectors:
Ce  0.000  0.000  0.000
Ce  0.000  0.499  0.306
Ce  0.000  0.501  0.694
Ce  0.499  0.000  0.306
Ce  0.500  0.500  0.265
Ce  0.500  0.500  0.735
Ce  0.501  0.000  0.694
Te  0.272  0.272  0.000
Te  0.728  0.728  0.000
Pb  0.174  0.826  0.500
Pb  0.826  0.174  0.500

Computed properties:
**Space group**: C2/m
**Formation energy from raw total energies**: -0.35 eV/atom

---

2.
Crystalline CeTePb at its relaxed geometry. Source: Alexandria via LeMat-Bulk, functional PBE-GGA.

Lattice parameters (Å, degrees): 4.064 4.064 14.204 90.00 90.00 120.00
Sites, in units of the cell vectors:
Ce  0.000  0.000  0.000
Ce  0.333  0.667  0.500
Te  0.333  0.667  0.145
Te  0.333  0.667  0.855
Pb  0.000  0.000  0.323
Pb  0.000  0.000  0.677

Computed properties:
**Space group**: P-6m2
**Formation energy from raw total energies**: -0.36 eV/atom

---

3.
Crystalline CeTePb at its relaxed geometry. Source: Alexandria via LeMat-Bulk, functional PBE-GGA.

Lattice parameters (Å, degrees): 9.664 9.664 9.664 153.33 153.33 38.07
Sites, in units of the cell vectors:
Ce  0.142  0.142  0.000
Ce  0.858  0.858  0.000
Te  0.319  0.319  0.000
Te  0.681  0.681  0.000
Pb  0.000  0.500  0.500
Pb  0.500  0.000  0.500

Computed properties:
**Space group**: I4/mmm
**Formation energy from raw total energies**: -0.89 eV/atom

---

4.
Crystalline Ce5Te2Pb2 at its relaxed geometry. Source: Alexandria via LeMat-Bulk, functional PBE-GGA.

Lattice parameters (Å, degrees): 8.980 8.980 8.437 90.00 90.00 55.80
Sites, in units of the cell vectors:
Ce  0.000  0.000  0.000
Ce  0.028  0.691  0.666
Ce  0.191  0.528  0.166
Ce  0.309  0.972  0.666
Ce  0.472  0.809  0.166
Ce  0.500  0.500  0.500
Ce  0.528  0.191  0.834
Ce  0.691  0.028  0.334
Ce  0.809  0.472  0.834
Ce  0.972  0.309  0.334
Te  0.200  0.200  0.000
Te  0.300  0.300  0.500
Te  0.700  0.700  0.500
Te  0.800  0.800  0.000
Pb  0.135  0.865  0.365
Pb  0.365  0.635  0.865
Pb  0.635  0.365  0.135
Pb  0.865  0.135  0.635

Computed properties:
**Space group**: Cmce
**Formation energy from raw total energies**: -0.77 eV/atom